(1)
LiMg4Zn4 | PBE | relaxed

## Properties
Crystal system   tetragonal
E_form   0.09 eV per atom
Space-group type   I-42m (121)

```
LiMg4Zn4
1.0
-2.606 2.606 6.335
2.606 -2.606 6.335
2.606 2.606 -6.335
Li Mg Zn
1 4 4
Direct
0.000 0.000 0.000
0.213 0.213 0.618
0.405 0.787 0.000
0.595 0.595 0.382
0.787 0.405 0.000
0.003 0.632 0.000
0.368 0.368 0.372
0.632 0.003 0.000
0.997 0.997 0.628
```

(2)
LaTlSb | PBE | relaxed

## Properties
Offset from the most stable computed form   0.2508 eV/atom
Crystal system   tetragonal
Space-group type   I4mm (107)
Raw formation energy   -0.484 eV/atom

```
LaTlSb
1.0
-2.044 2.044 5.440
2.044 -2.044 5.440
2.044 2.044 -5.440
La Tl Sb
1 1 1
Direct
0.000 0.000 0.000
0.312 0.312 0.000
0.666 0.666 0.000
```

(3)
LiDy2Be | PBE | relaxed

## Properties
Offset from the most stable computed form   0.0442 eV/atom
Crystal system   cubic
E_form   0.14 eV per atom
Space-group type   Fm-3m (225)

```
LiDy2Be
1.0
0.000 3.521 3.521
3.521 0.000 3.521
3.521 3.521 0.000
Li Dy Be
1 2 1
Direct
0.000 0.000 0.000
0.250 0.250 0.250
0.750 0.750 0.750
0.500 0.500 0.500
```

(4)
Li2Ag5Pd | PBE | relaxed

## Properties
Offset from the most stable computed form   0.0000 eV/atom
Crystal system   orthorhombic
E_form   -0.17 eV per atom
Space-group type   Pbam (55)

```
Li2Ag5Pd
1.0
5.706 0.000 0.000
0.000 11.405 0.000
0.000 0.000 4.071
Li Ag Pd
4 10 2
Direct
0.240 0.119 0.000
0.260 0.619 0.000
0.740 0.381 0.000
0.760 0.881 0.000
0.000 0.249 0.500
0.000 0.500 0.500
0.000 0.751 0.500
0.248 0.876 0.000
0.252 0.376 0.000
0.500 0.000 0.500
0.500 0.251 0.500
0.500 0.749 0.500
0.748 0.624 0.000
0.752 0.124 0.000
0.000 0.000 0.500
0.500 0.500 0.500
```

(5)
DyHI3 | PBE | relaxed

## Properties
Crystal system   monoclinic
Electronic total energy   -0.2652 Ry per atom
Space-group type   P2/c (13)

```
DyHI3
1.0
8.332 0.000 0.000
0.000 8.047 0.000
-4.549 0.000 13.448
Dy H I
4 4 12
Direct
0.000 0.250 0.085
0.000 0.250 0.415
0.000 0.750 0.585
0.000 0.750 0.915
0.046 0.223 0.765
0.046 0.777 0.265
0.954 0.223 0.735
0.954 0.777 0.235
0.239 0.460 0.574
0.239 0.540 0.074
0.240 0.039 0.017
0.240 0.961 0.517
0.249 0.251 0.297
0.249 0.749 0.797
0.751 0.251 0.203
0.751 0.749 0.703
0.760 0.039 0.483
0.760 0.961 0.983
0.761 0.460 0.926
0.761 0.540 0.426
```

(6)
Nd2Zn5Cu5 | PBE | relaxed

## Properties
Offset from the most stable computed form   0.0389 eV/atom
Crystal system   orthorhombic
E_form   -0.25 eV per atom
Space-group type   Pmmm (47)

```
Nd2Zn5Cu5
1.0
4.051 0.000 0.000
0.000 5.315 0.000
0.000 0.000 9.347
Nd Zn Cu
2 5 5
Direct
0.000 0.000 0.000
0.000 0.500 0.500
0.000 0.000 0.326
0.000 0.000 0.674
0.000 0.500 0.166
0.000 0.500 0.834
0.500 0.000 0.500
0.500 0.253 0.248
0.500 0.253 0.752
0.500 0.500 0.000
0.500 0.747 0.248
0.500 0.747 0.752
```

(7)
PmNdThGa | PBE | relaxed

## Properties
Crystal system   cubic
E_form   -0.02 eV per atom
Space-group type   F-43m (216)

```
PmNdThGa
1.0
0.000 3.854 3.854
3.854 0.000 3.854
3.854 3.854 0.000
Pm Nd Th Ga
1 1 1 1
Direct
0.000 0.000 0.000
0.750 0.750 0.750
0.250 0.250 0.250
0.500 0.500 0.500
```

(8)
Na5B7C3 | PBE | relaxed

## Properties
Offset from the most stable computed form   0.0282 eV/atom
Crystal system   monoclinic
E_form   0.14 eV per atom
Space-group type   C2/c (15)

```
Na5B7C3
1.0
7.331 -2.482 0.000
7.331 2.482 0.000
-2.929 0.000 8.596
Na B C
10 14 6
Direct
0.000 0.500 0.000
0.100 0.600 0.502
0.200 0.700 0.999
0.300 0.800 0.501
0.400 0.900 0.998
0.500 0.000 0.500
0.600 0.100 0.002
0.700 0.200 0.499
0.800 0.300 0.001
0.900 0.400 0.498
0.087 0.913 0.750
0.136 0.249 0.249
0.230 0.368 0.751
0.249 0.136 0.749
0.320 0.492 0.251
0.368 0.230 0.251
0.492 0.320 0.751
0.508 0.680 0.249
0.632 0.770 0.749
0.680 0.508 0.749
0.751 0.864 0.251
0.770 0.632 0.249
0.864 0.751 0.751
0.913 0.087 0.250
0.018 0.172 0.748
0.172 0.018 0.248
0.423 0.577 0.750
0.577 0.423 0.250
0.828 0.982 0.752
0.982 0.828 0.252
```

Sequential total magnetization output: 0.000, 0.167, 0.000, 0.000, 0.000, 0.000, 0.000, 0.000 μB per atom